Compound: NaZrNbP3O12
Source: the Alexandria database
Functional: PBEsol
Structure: relaxed

Computed properties:
Raw formation energy: -2528 meV/atom
SG: R3c, No. 161

a = 9.0483 Å, b = 9.0483 Å, c = 9.0483 Å
α = 58.51°, β = 58.51°, γ = 58.51°
Fractional positions:
Na: 0.0000 0.0000 0.0000
Na: 0.5000 0.5000 0.5000
Zr: 0.1456 0.1456 0.1456
Zr: 0.6456 0.6456 0.6456
Nb: 0.3568 0.3568 0.3568
Nb: 0.8568 0.8568 0.8568
P: 0.0443 0.4624 0.7488
P: 0.2488 0.9624 0.5443
P: 0.4624 0.7488 0.0443
P: 0.5443 0.2488 0.9624
P: 0.7488 0.0443 0.4624
P: 0.9624 0.5443 0.2488
O: 0.0004 0.3824 0.2054
O: 0.0109 0.6232 0.7926
O: 0.0655 0.2815 0.9143
O: 0.0819 0.9414 0.7247
O: 0.1232 0.5109 0.2926
O: 0.2054 0.0004 0.3824
O: 0.2247 0.4414 0.5819
O: 0.2815 0.9143 0.0655
O: 0.2926 0.1232 0.5109
O: 0.3824 0.2054 0.0004
O: 0.4143 0.7815 0.5655
O: 0.4414 0.5819 0.2247
O: 0.5004 0.7054 0.8824
O: 0.5109 0.2926 0.1232
O: 0.5655 0.4143 0.7815
O: 0.5819 0.2247 0.4414
O: 0.6232 0.7926 0.0109
O: 0.7054 0.8824 0.5004
O: 0.7247 0.0819 0.9414
O: 0.7815 0.5655 0.4143
O: 0.7926 0.0109 0.6232
O: 0.8824 0.5004 0.7054
O: 0.9143 0.0655 0.2815
O: 0.9414 0.7247 0.0819


Compound: ReSe2N2
Source: the Alexandria database
Functional: PBEsol
Structure: relaxed

Computed properties:
Raw formation energy: 1342 meV/atom
SG: P4/mmm, No. 123

a = 4.9140 Å, b = 4.9140 Å, c = 3.7096 Å
α = 90.00°, β = 90.00°, γ = 90.00°
Fractional positions:
Re: 0.0000 0.0000 0.0000
Se: 0.0000 0.5000 0.0000
Se: 0.5000 0.0000 0.0000
N: 0.0000 0.0000 0.5000
N: 0.5000 0.5000 0.5000


Compound: YNb2NO5
Source: the Alexandria database
Functional: PBEsol
Structure: relaxed

Computed properties:
Offset from the most stable computed form: 1.0 meV/atom
Raw formation energy: -2574 meV/atom
SG: P2_1, No. 4

a = 5.6314 Å, b = 5.2560 Å, c = 14.9467 Å
α = 90.00°, β = 90.15°, γ = 90.00°
Fractional positions:
Y: 0.0105 0.0000 0.2515
Y: 0.4812 0.5029 0.2501
Y: 0.5188 0.0029 0.7499
Y: 0.9895 0.5000 0.7485
Nb: 0.0635 0.9441 0.9157
Nb: 0.0751 0.0826 0.5864
Nb: 0.4409 0.5576 0.5867
Nb: 0.4532 0.4293 0.9124
Nb: 0.5468 0.9293 0.0876
Nb: 0.5591 0.0576 0.4133
Nb: 0.9249 0.5826 0.4136
Nb: 0.9365 0.4441 0.0843
N: 0.3145 0.2875 0.6587
N: 0.3202 0.8316 0.1644
N: 0.6798 0.3316 0.8356
N: 0.6855 0.7875 0.3413
O: 0.1070 0.6270 0.9925
O: 0.1139 0.3995 0.5084
O: 0.1595 0.3324 0.1660
O: 0.1660 0.6739 0.3356
O: 0.1929 0.2187 0.8397
O: 0.1931 0.7879 0.6588
O: 0.3124 0.7228 0.8425
O: 0.3264 0.1793 0.3348
O: 0.3781 0.8954 0.5085
O: 0.3817 0.1042 0.9874
O: 0.6183 0.6042 0.0126
O: 0.6219 0.3954 0.4915
O: 0.6736 0.6793 0.6652
O: 0.6876 0.2228 0.1575
O: 0.8069 0.2879 0.3412
O: 0.8071 0.7187 0.1603
O: 0.8340 0.1739 0.6644
O: 0.8405 0.8324 0.8340
O: 0.8861 0.8995 0.4916
O: 0.8930 0.1270 0.0075


Compound: Tl2PtPb
Source: the Alexandria database
Functional: PBEsol
Structure: relaxed

Computed properties:
Formation energy: -3 meV/atom
Offset from the most stable computed form: 18.3 meV/atom
SG: R3m, No. 160

a = 8.2834 Å, b = 8.2834 Å, c = 8.2834 Å
α = 27.23°, β = 27.23°, γ = 27.23°
Fractional positions:
Tl: 0.0000 0.0000 0.0000
Tl: 0.2373 0.2373 0.2373
Pt: 0.7342 0.7342 0.7342
Pb: 0.4662 0.4662 0.4662


Compound: Sr2SbRu2
Source: the Alexandria database
Functional: PBEsol
Structure: relaxed

Computed properties:
Raw formation energy: 43 meV/atom
SG: I4/mmm, No. 139

a = 10.1222 Å, b = 10.1222 Å, c = 10.1222 Å
α = 159.82°, β = 159.82°, γ = 28.69°
Fractional positions:
Sr: 0.1162 0.1162 0.0000
Sr: 0.8838 0.8838 0.0000
Sb: 0.5000 0.5000 0.0000
Ru: 0.2500 0.7500 0.5000
Ru: 0.7500 0.2500 0.5000


Compound: TcPb3
Source: the Alexandria database
Functional: PBEsol
Structure: relaxed

Computed properties:
Formation energy: 761 meV/atom
Offset from the most stable computed form: 330.2 meV/atom
SG: Cmmm, No. 65

a = 5.4997 Å, b = 5.4997 Å, c = 3.2993 Å
α = 90.00°, β = 90.00°, γ = 105.34°
Fractional positions:
Tc: 0.0000 0.0000 0.0000
Pb: 0.0000 0.5000 0.5000
Pb: 0.5000 0.0000 0.5000
Pb: 0.5000 0.5000 0.0000


Copy entry 5 word for word.
Compound: Sr2SbRu2
Source: the Alexandria database
Functional: PBEsol
Structure: relaxed

Computed properties:
Raw formation energy: 43 meV/atom
SG: I4/mmm, No. 139

a = 10.1222 Å, b = 10.1222 Å, c = 10.1222 Å
α = 159.82°, β = 159.82°, γ = 28.69°
Fractional positions:
Sr: 0.1162 0.1162 0.0000
Sr: 0.8838 0.8838 0.0000
Sb: 0.5000 0.5000 0.0000
Ru: 0.2500 0.7500 0.5000
Ru: 0.7500 0.2500 0.5000